No. 1
Density functional theory data (PBE) for crystalline ZrTiPt4 at its relaxed geometry.

Computed properties:
**DFT formation energy**: -0.761 eV per atom
**Crystal system**: tetragonal
**M_tot**: 0.00 μB per cell

Cell lengths 3.9518, 3.9518, 7.3141 Å; angles 90.00, 90.00, 90.00 degrees
With the nearest neighbours (Å) after each atom.
Space group P4/mmm (No. 123)
One atom of each set of equivalent atoms:
Zr  0.0000  0.0000  0.0000 x1  8 Pt 2.78
Ti  0.5000  0.5000  0.5000 x1  8 Pt 2.61
Pt  0.0000  0.5000  0.2671 x4  2 Ti 2.61, 2 Zr 2.78, 4 Pt 2.79



No. 2
Density functional theory data (PBE) for crystalline ZrTi2Pt2 at its relaxed geometry.

Computed properties:
**DFT formation energy**: -0.689 eV per atom
**Crystal system**: tetragonal
**M_tot**: 0.00 μB per cell
**Offset from the most stable computed form**: 69 meV/atom

Cell lengths 4.2277, 4.2277, 10.6347 Å; angles 90.00, 90.00, 90.00 degrees
With the nearest neighbours (Å) after each atom.
Space group I4/mmm (No. 139)
One atom of each set of equivalent atoms:
Zr  0.0000  0.0000  0.0000 x2  8 Pt 3.25, 8 Ti 3.40
Ti  0.0000  0.5000  0.2500 x4  4 Pt 2.52
Pt  0.0000  0.0000  0.3798 x4  4 Ti 2.52, 1 Pt 2.56



What did the second record say?
Density functional theory data (PBE) for crystalline ZrTi2Pt2 at its relaxed geometry.

Computed properties:
**DFT formation energy**: -0.689 eV per atom
**Crystal system**: tetragonal
**M_tot**: 0.00 μB per cell
**Offset from the most stable computed form**: 69 meV/atom

Cell lengths 4.2277, 4.2277, 10.6347 Å; angles 90.00, 90.00, 90.00 degrees
With the nearest neighbours (Å) after each atom.
Space group I4/mmm (No. 139)
One atom of each set of equivalent atoms:
Zr  0.0000  0.0000  0.0000 x2  8 Pt 3.25, 8 Ti 3.40
Ti  0.0000  0.5000  0.2500 x4  4 Pt 2.52
Pt  0.0000  0.0000  0.3798 x4  4 Ti 2.52, 1 Pt 2.56



- Number 2 is which compound?
  ZrTi2Pt2